Version i
VASP calculation (GGA-PBE) on crystalline BiPPdO at its relaxed geometry.

Lattice parameters (Å, degrees): 3.566 7.358 6.219 90.00 90.00 90.00
Positions (direct):
1 Bi 0.000 0.220 0.000
2 Bi 0.000 0.780 0.500
3 P 0.000 0.164 0.436
4 P 0.000 0.836 0.936
5 Pd 0.500 0.305 0.594
6 Pd 0.500 0.695 0.094
7 O 0.500 0.400 0.997
8 O 0.500 0.600 0.497

***

Version ii
VASP calculation (GGA-PBE) on crystalline BiPPdO at its relaxed geometry.

Lattice parameters (Å, degrees): 4.058 4.058 8.361 90.00 90.00 90.00
Positions (direct):
1 Bi 0.250 0.250 0.149
2 Bi 0.750 0.750 0.851
3 P 0.250 0.250 0.655
4 P 0.750 0.750 0.345
5 Pd 0.250 0.750 0.500
6 Pd 0.750 0.250 0.500
7 O 0.250 0.750 0.000
8 O 0.750 0.250 0.000

***

Version iii
VASP calculation (GGA-PBE) on crystalline BiPPdO at its relaxed geometry.

Lattice parameters (Å, degrees): 4.414 4.414 9.016 90.00 90.00 90.00
Positions (direct):
1 Bi 0.250 0.750 0.000
2 Bi 0.750 0.250 0.000
3 P 0.250 0.250 0.217
4 P 0.750 0.750 0.783
5 Pd 0.250 0.250 0.464
6 Pd 0.750 0.750 0.536
7 O 0.250 0.750 0.500
8 O 0.750 0.250 0.500

***

According to the calculations, the structures order from most to least stable as version ii, version i, version iii.

***

Version i
VASP calculation (GGA-PBE) on crystalline PmBiPO at its relaxed geometry.

Lattice parameters (Å, degrees): 5.632 5.632 5.398 90.00 90.00 90.00
Positions (direct):
1 Pm 0.250 0.750 0.000
2 Pm 0.750 0.250 0.000
3 Bi 0.250 0.250 0.500
4 Bi 0.750 0.750 0.500
5 P 0.250 0.250 0.001
6 P 0.750 0.750 0.999
7 O 0.250 0.750 0.500
8 O 0.750 0.250 0.500

***

Version ii
VASP calculation (GGA-PBE) on crystalline PmBiPO at its relaxed geometry.

Lattice parameters (Å, degrees): 4.065 8.194 6.014 90.00 90.00 90.00
Positions (direct):
1 Pm 0.000 0.172 0.000
2 Pm 0.000 0.828 0.500
3 Bi 0.500 0.395 0.549
4 Bi 0.500 0.605 0.049
5 P 0.000 0.177 0.494
6 P 0.000 0.823 0.994
7 O 0.500 0.260 0.928
8 O 0.500 0.740 0.428

***

Version iii
VASP calculation (GGA-PBE) on crystalline PmBiPO at its relaxed geometry.

Lattice parameters (Å, degrees): 4.466 6.224 6.219 90.00 90.00 90.00
Positions (direct):
1 Pm 0.000 0.223 0.000
2 Pm 0.000 0.777 0.500
3 Bi 0.500 0.374 0.410
4 Bi 0.500 0.626 0.910
5 P 0.500 0.064 0.720
6 P 0.500 0.936 0.220
7 O 0.000 0.450 0.306
8 O 0.000 0.550 0.806

***

According to the calculations, the structures order from most to least stable as version ii, version iii, version i.

***

Version i
VASP calculation (GGA-PBE) on crystalline PmBiPO at its relaxed geometry.

Lattice parameters (Å, degrees): 5.523 5.523 5.436 90.00 90.00 90.00
Positions (direct):
1 Pm 0.250 0.750 0.000
2 Pm 0.750 0.250 0.000
3 Bi 0.250 0.250 0.494
4 Bi 0.750 0.750 0.506
5 P 0.250 0.250 0.990
6 P 0.750 0.750 0.010
7 O 0.250 0.750 0.500
8 O 0.750 0.250 0.500

***

Version ii
VASP calculation (GGA-PBE) on crystalline PmBiPO at its relaxed geometry.

Lattice parameters (Å, degrees): 4.272 4.272 9.733 90.00 90.00 90.00
Positions (direct):
1 Pm 0.250 0.250 0.104
2 Pm 0.750 0.750 0.896
3 Bi 0.250 0.750 0.500
4 Bi 0.750 0.250 0.500
5 P 0.250 0.250 0.730
6 P 0.750 0.750 0.270
7 O 0.250 0.750 0.000
8 O 0.750 0.250 0.000

***

According to the calculations, the structures order from most to least stable as version ii, version i.

***

Version i
VASP calculation (GGA-PBE) on crystalline TbBiPO at its relaxed geometry.

Lattice parameters (Å, degrees): 4.949 6.344 6.182 90.00 90.00 90.00
Positions (direct):
1 Tb 0.000 0.178 0.000
2 Tb 0.000 0.822 0.500
3 Bi 0.500 0.247 0.402
4 Bi 0.500 0.753 0.902
5 P 0.500 0.323 0.854
6 P 0.500 0.677 0.354
7 O 0.000 0.125 0.346
8 O 0.000 0.875 0.846

***

Version ii
VASP calculation (GGA-PBE) on crystalline TbBiPO at its relaxed geometry.

Lattice parameters (Å, degrees): 5.409 5.409 5.435 90.00 90.00 90.00
Positions (direct):
1 Tb 0.250 0.750 0.000
2 Tb 0.750 0.250 0.000
3 Bi 0.250 0.250 0.500
4 Bi 0.750 0.750 0.500
5 P 0.250 0.250 0.002
6 P 0.750 0.750 0.998
7 O 0.250 0.750 0.500
8 O 0.750 0.250 0.500

***

Version iii
VASP calculation (GGA-PBE) on crystalline TbBiPO at its relaxed geometry.

Lattice parameters (Å, degrees): 4.220 4.220 9.657 90.00 90.00 90.00
Positions (direct):
1 Tb 0.250 0.250 0.097
2 Tb 0.750 0.750 0.903
3 Bi 0.250 0.750 0.500
4 Bi 0.750 0.250 0.500
5 P 0.250 0.250 0.734
6 P 0.750 0.750 0.266
7 O 0.250 0.750 0.000
8 O 0.750 0.250 0.000

***

According to the calculations, the structures order from most to least stable as version iii, version i, version ii.

***

Version i
VASP calculation (GGA-PBE) on crystalline TmBiPO at its relaxed geometry.

Lattice parameters (Å, degrees): 5.433 5.433 5.386 90.00 90.00 90.00
Positions (direct):
1 Tm 0.250 0.750 0.000
2 Tm 0.750 0.250 0.000
3 Bi 0.250 0.250 0.497
4 Bi 0.750 0.750 0.503
5 P 0.250 0.250 0.996
6 P 0.750 0.750 0.004
7 O 0.250 0.750 0.500
8 O 0.750 0.250 0.500

***

Version ii
VASP calculation (GGA-PBE) on crystalline TmBiPO at its relaxed geometry.

Lattice parameters (Å, degrees): 3.863 8.205 5.863 90.00 90.00 90.00
Positions (direct):
1 Tm 0.000 0.157 0.000
2 Tm 0.000 0.843 0.500
3 Bi 0.500 0.406 0.513
4 Bi 0.500 0.594 0.013
5 P 0.000 0.179 0.500
6 P 0.000 0.821 0.000
7 O 0.500 0.250 0.998
8 O 0.500 0.750 0.498

***

According to the calculations, the structures order from most to least stable as version ii, version i.

***

Version i
VASP calculation (GGA-PBE) on crystalline TmBiPO at its relaxed geometry.

Lattice parameters (Å, degrees): 4.215 4.215 9.443 90.00 90.00 90.00
Positions (direct):
1 Tm 0.250 0.250 0.087
2 Tm 0.750 0.750 0.913
3 Bi 0.250 0.750 0.500
4 Bi 0.750 0.250 0.500
5 P 0.250 0.250 0.740
6 P 0.750 0.750 0.260
7 O 0.250 0.750 0.000
8 O 0.750 0.250 0.000

***

Version ii
VASP calculation (GGA-PBE) on crystalline TmBiPO at its relaxed geometry.

Lattice parameters (Å, degrees): 4.213 8.046 6.401 90.00 90.00 90.00
Positions (direct):
1 Tm 0.000 0.150 0.000
2 Tm 0.000 0.850 0.500
3 Bi 0.500 0.321 0.530
4 Bi 0.500 0.679 0.030
5 P 0.500 0.363 0.939
6 P 0.500 0.637 0.439
7 O 0.000 0.021 0.271
8 O 0.000 0.979 0.771

***

According to the calculations, the structures order from most to least stable as version ii, version i.